DFT (PBEsol) results for a relaxed structure of NbZn2CrSi.

The structure in extended XYZ format:
```
5
Lattice="-1.708 -3.024 -2.719 3.043 -2.907 1.322 -2.903 -1.468 3.455" Properties=species:S:1:pos:R:3 pbc="T T T"
Nb -1.452 -0.734 1.728
Zn 1.521 -1.453 0.661
Zn -0.854 -1.512 -1.360
Cr -0.784 -3.699 1.029
Si 0.000 0.000 0.000
```

Raw formation energy: 0.915 eV/atom


DFT (PBEsol) results for a relaxed structure of Nb3CrSn.

The structure in extended XYZ format:
```
5
Lattice="4.983 0.000 0.000 0.000 4.983 0.000 0.000 0.000 4.983" Properties=species:S:1:pos:R:3 pbc="T T T"
Nb 0.000 2.491 0.000
Nb 2.491 0.000 0.000
Nb 0.000 0.000 2.491
Sn 0.000 0.000 0.000
Cr 2.491 2.491 2.491
```

Calculated formation energy: 2010 meV/atom


DFT (PBEsol) results for a relaxed structure of SrNb2Cr.

The structure in extended XYZ format:
```
4
Lattice="-1.240 4.483 0.599 -2.511 1.257 3.756 1.984 2.548 3.401" Properties=species:S:1:pos:R:3 pbc="T T T"
Cr 0.000 0.000 0.000
Nb -1.325 6.216 5.817
Nb -0.442 2.072 1.939
Sr -0.884 4.144 3.878
```

Calculated formation energy: 1094 meV/atom


DFT (PBEsol) results for a relaxed structure of TiNb2CrTc.

The structure in extended XYZ format:
```
5
Lattice="4.312 0.000 0.000 0.000 4.776 0.000 0.000 0.000 4.776" Properties=species:S:1:pos:R:3 pbc="T T T"
Nb 0.000 0.000 2.388
Nb 0.000 2.388 0.000
Tc 0.000 0.000 0.000
Ti 2.156 2.388 2.388
Cr 2.156 0.000 0.000
```

Calculated formation energy: 1188 meV/atom


DFT (PBEsol) results for a relaxed structure of NbCrTe2.

The structure in extended XYZ format:
```
4
Lattice="3.216 0.000 0.000 1.608 2.785 0.000 1.608 0.928 9.064" Properties=species:S:1:pos:R:3 pbc="T T T"
Te 1.608 0.928 6.315
Te 4.824 2.785 2.749
Cr 3.216 1.857 4.532
Nb 0.000 0.000 0.000
```

Raw formation energy: 0.383 eV/atom


DFT (PBEsol) results for a relaxed structure of Ti2NbCrTe.

The structure in extended XYZ format:
```
5
Lattice="-4.174 0.000 1.867 -1.180 -3.450 -2.639 1.409 -2.891 3.149" Properties=species:S:1:pos:R:3 pbc="T T T"
Nb -2.087 0.000 0.933
Ti -0.590 -1.725 -1.320
Ti 0.704 -1.446 1.575
Te -1.973 -3.171 1.188
Cr 0.000 0.000 0.000
```

Raw formation energy: 0.432 eV/atom


DFT (PBEsol) results for a relaxed structure of TiNb2Cr.

The structure in extended XYZ format:
```
4
Lattice="4.444 0.000 0.000 2.222 3.849 0.000 2.222 1.283 3.629" Properties=species:S:1:pos:R:3 pbc="T T T"
Nb 6.667 3.849 2.722
Nb 2.222 1.283 0.907
Cr 4.444 2.566 1.814
Ti 0.000 0.000 0.000
```

Calculated formation energy: 103 meV/atom


DFT (PBEsol) results for a relaxed structure of TiNbCr2W.

The structure in extended XYZ format:
```
5
Lattice="-2.669 1.603 3.176 -3.470 -2.049 -1.882 0.854 -3.925 2.699" Properties=species:S:1:pos:R:3 pbc="T T T"
Ti -2.643 -2.185 1.996
Cr -1.335 0.802 1.588
Cr -1.735 -1.025 -0.941
W 0.000 0.000 0.000
Nb 0.427 -1.962 1.349
```

Calculated formation energy: 1543 meV/atom


DFT (PBEsol) results for a relaxed structure of NbTlCr3.

The structure in extended XYZ format:
```
5
Lattice="4.877 0.000 0.000 0.000 4.877 0.000 0.000 0.000 4.877" Properties=species:S:1:pos:R:3 pbc="T T T"
Cr 0.000 0.000 2.438
Cr 0.000 2.438 0.000
Cr 2.438 0.000 0.000
Tl 0.000 0.000 0.000
Nb 2.438 2.438 2.438
```

Calculated formation energy: 2208 meV/atom


DFT (PBEsol) results for a relaxed structure of ZrNbCrW2.

The structure in extended XYZ format:
```
5
Lattice="-2.533 -3.036 -1.619 2.763 -3.326 1.916 -2.621 0.089 3.936" Properties=species:S:1:pos:R:3 pbc="T T T"
Nb -1.196 -3.137 2.116
W -1.311 0.045 1.968
W 1.382 -1.663 0.958
Cr -1.267 -1.518 -0.809
Zr 0.000 0.000 0.000
```

Calculated formation energy: 2199 meV/atom


DFT (PBEsol) results for a relaxed structure of YNb3Cr.

The structure in extended XYZ format:
```
5
Lattice="-2.780 -2.255 -3.238 3.102 -3.697 -0.089 -2.438 -2.133 3.578" Properties=species:S:1:pos:R:3 pbc="T T T"
Nb -1.219 -1.066 1.789
Nb -1.390 -1.128 -1.619
Nb 1.551 -1.848 -0.045
Cr -1.058 -4.042 0.126
Y 0.000 0.000 0.000
```

Calculated formation energy: 2284 meV/atom


DFT (PBEsol) results for a relaxed structure of NbZn3Cr.

The structure in extended XYZ format:
```
5
Lattice="-0.134 -4.842 -0.482 0.120 -0.485 4.842 -4.864 0.122 0.133" Properties=species:S:1:pos:R:3 pbc="T T T"
Cr -2.439 -2.602 2.246
Zn 0.060 -0.243 2.421
Zn -2.432 0.061 0.066
Zn -0.067 -2.421 -0.241
Nb 0.000 0.000 0.000
```

Calculated formation energy: 1466 meV/atom


DFT (PBEsol) results for a relaxed structure of Nb3ZnCr.

The structure in extended XYZ format:
```
5
Lattice="4.666 0.000 0.000 0.000 4.666 0.000 0.000 0.000 4.666" Properties=species:S:1:pos:R:3 pbc="T T T"
Nb 2.333 0.000 0.000
Nb 0.000 0.000 2.333
Nb 0.000 2.333 0.000
Zn 0.000 0.000 0.000
Cr 2.333 2.333 2.333
```

Calculated formation energy: 1529 meV/atom


DFT (PBEsol) results for a relaxed structure of Sr2Nd2CrNiO8.

The structure in extended XYZ format:
```
14
Lattice="-1.785 1.837 4.652 -2.046 -4.804 1.112 6.219 -2.564 0.369" Properties=species:S:1:pos:R:3 pbc="T T T"
O 2.681 -0.186 4.134
O 3.358 -4.771 4.676
O -0.228 -2.005 3.736
O 5.248 -3.323 1.824
O 2.473 -3.482 2.324
O 4.243 -5.682 2.370
O 4.363 -2.413 4.130
O 1.897 -0.586 0.960
Sr 0.651 0.442 3.107
Sr 1.858 -2.649 4.791
Nd 3.871 -1.196 1.958
Nd 0.435 -2.853 1.294
Cr -1.903 -1.487 2.888
Ni 4.429 -0.726 5.018
```

Raw formation energy: -2.567 eV/atom


DFT (PBEsol) results for a relaxed structure of NdCrO3.

The structure in extended XYZ format:
```
20
Lattice="-2.576 4.715 -0.185 -4.736 -2.540 1.197 1.338 1.024 7.466" Properties=species:S:1:pos:R:3 pbc="T T T"
O -2.831 0.560 7.928
O -5.182 2.194 4.201
O -3.819 3.768 6.053
O -0.242 1.426 7.345
O -2.593 3.060 3.618
O -3.143 2.640 0.551
O -0.792 1.005 4.277
O -5.731 1.773 1.134
O -5.380 -0.270 2.963
O -3.381 0.139 4.860
O -2.154 -0.569 2.426
O -0.594 3.469 5.516
Nd -2.380 1.929 6.047
Nd -3.521 -1.586 6.734
Nd -2.452 4.785 1.745
Nd -3.594 1.270 2.432
Cr -2.368 -1.270 0.599
Cr -0.619 2.870 3.641
Cr -1.699 -0.758 4.332
Cr -1.288 2.358 -0.093
```

Raw formation energy: -2.752 eV/atom


DFT (PBEsol) results for a relaxed structure of Cr4Ni5.

The structure in extended XYZ format:
```
9
Lattice="-2.257 1.558 -1.754 -4.961 -0.865 2.594 -0.353 5.250 2.097" Properties=species:S:1:pos:R:3 pbc="T T T"
Cr -3.282 2.505 0.406
Cr -3.417 1.184 2.427
Cr -1.897 3.201 2.264
Cr -4.290 3.438 2.531
Ni -0.870 2.271 0.115
Ni 0.000 0.000 0.000
Ni -1.741 4.538 0.228
Ni -2.407 0.230 0.281
Ni -4.811 0.462 0.559
```

Calculated formation energy: 52 meV/atom


DFT (PBEsol) results for a relaxed structure of Cr2Ni.

The structure in extended XYZ format:
```
3
Lattice="2.681 0.000 0.000 -1.340 2.321 0.000 0.000 0.000 5.532" Properties=species:S:1:pos:R:3 pbc="T T T"
Ni 0.000 0.000 0.000
Cr 0.000 1.548 1.973
Cr 1.340 0.774 3.560
```

Calculated formation energy: 341 meV/atom


DFT (PBEsol) results for a relaxed structure of Cr5Ni3.

The structure in extended XYZ format:
```
8
Lattice="3.423 0.000 0.000 0.000 5.023 -0.008 0.000 -0.263 5.016" Properties=species:S:1:pos:R:3 pbc="T T T"
Cr 0.000 2.511 -0.004
Cr 0.000 -0.132 2.508
Cr 1.712 3.691 1.258
Cr 0.000 0.000 0.000
Cr 1.712 1.068 3.750
Ni 1.712 3.542 3.728
Ni 0.000 2.380 2.504
Ni 1.712 1.217 1.280
```

Calculated formation energy: 77 meV/atom


DFT (PBEsol) results for a relaxed structure of Cr3Ni.

The structure in extended XYZ format:
```
4
Lattice="2.400 0.005 0.000 -0.664 2.307 0.000 0.000 0.000 7.868" Properties=species:S:1:pos:R:3 pbc="T T T"
Cr 0.868 1.156 0.000
Cr 0.000 0.000 1.992
Cr 0.000 0.000 5.876
Ni 0.868 1.156 3.934
```

Calculated formation energy: 51 meV/atom


DFT (PBEsol) results for a relaxed structure of Cr3Ni.

The structure in extended XYZ format:
```
4
Lattice="-0.932 1.507 -1.556 -3.152 0.460 2.333 2.472 3.016 2.746" Properties=species:S:1:pos:R:3 pbc="T T T"
Cr 0.348 1.193 0.235
Cr 1.192 3.330 0.954
Cr -2.042 0.983 0.388
Ni -0.340 1.738 2.539
```

Calculated formation energy: 109 meV/atom


DFT (PBEsol) results for a relaxed structure of CrNi7.

The structure in extended XYZ format:
```
8
Lattice="4.917 0.000 0.000 2.459 4.258 0.000 2.459 1.419 4.015" Properties=species:S:1:pos:R:3 pbc="T T T"
Ni 2.459 2.839 2.007
Ni 4.917 2.839 2.007
Ni 3.688 2.129 0.000
Ni 3.688 0.710 2.007
Ni 1.229 0.710 2.007
Ni 2.459 0.000 0.000
Ni 1.229 2.129 0.000
Cr 0.000 0.000 0.000
```

Calculated formation energy: 27 meV/atom


DFT (PBEsol) results for a relaxed structure of Cr2NiO4.

The structure in extended XYZ format:
```
14
Lattice="5.802 0.000 0.000 -2.901 5.027 -0.037 0.000 -3.315 4.762" Properties=species:S:1:pos:R:3 pbc="T T T"
Cr -1.449 0.856 2.363
Cr -2.899 1.712 4.725
Cr -2.899 3.370 2.344
Cr 1.452 0.856 2.362
O -1.581 2.463 3.480
O 0.002 0.026 3.390
O 1.585 2.463 3.480
O 2.903 0.182 3.498
O 0.002 1.531 1.227
O 1.320 -0.751 1.245
O 2.903 1.687 1.335
O 4.487 -0.751 1.245
Ni 2.904 -1.643 4.157
Ni 0.002 3.355 0.568
```

Raw formation energy: -1.576 eV/atom


DFT (PBEsol) results for a relaxed structure of Cr3NiP6O24.

The structure in extended XYZ format:
```
34
Lattice="8.120 0.000 0.000 4.060 7.033 0.000 4.060 2.344 7.103" Properties=species:S:1:pos:R:3 pbc="T T T"
O 7.976 1.533 4.166
O 7.302 3.462 5.447
O 6.645 4.826 1.675
O 6.897 8.403 5.028
O 4.192 5.503 2.012
O 10.790 7.683 2.012
O 5.224 3.298 2.932
O 9.592 4.592 5.447
O 13.681 7.082 6.635
O 10.773 2.875 2.932
O 9.380 0.879 2.012
O 11.474 5.709 6.635
O 4.792 3.674 0.485
O 5.460 6.391 4.166
O 4.846 1.046 0.485
O 7.468 6.011 5.447
O 11.388 8.306 6.635
O 5.515 1.772 5.028
O 8.739 3.341 1.675
O 2.543 2.313 0.485
O 8.365 7.892 2.932
O 10.925 6.141 4.166
O 11.949 3.890 5.028
O 8.978 5.897 1.675
P 5.182 4.359 1.807
P 9.875 2.308 1.807
P 9.305 7.398 1.807
P 7.016 1.961 5.297
P 6.310 7.009 5.297
P 11.035 5.096 5.297
Ni 12.181 7.033 3.133
Cr 4.060 2.344 4.007
Cr 8.120 4.688 6.537
Cr 8.120 4.688 0.613
```

Raw formation energy: -1.848 eV/atom